[1]
A geometry-optimized CuAgSb2 structure, computed with PBE.

Structure (extended XYZ):
```
4
Lattice="-0.516 -1.511 2.814 2.869 1.034 1.081 -3.533 6.712 2.956" Properties=species:S:1:pos:R:3 pbc="T T T"
Ag 0.294 1.440 2.687
Cu -1.473 4.795 4.164
Sb -3.455 6.565 2.891
Sb -1.843 3.502 1.542
```

Calculated values
* uncorrected energy: -0.2628 Ry per atom
* formation energy from raw total energies: 0.22 eV/atom
* V: 21.3 Å³ per atom
* energy above the most stable polymorph in this dataset: 98 meV/atom
* total magnetic moment: 0.000 μB/atom



[2]
A geometry-optimized CuAg2Sb structure, computed with PBE.

Structure (extended XYZ):
```
4
Lattice="-2.173 -3.806 1.630 2.517 -0.770 1.556 0.051 2.245 5.310" Properties=species:S:1:pos:R:3 pbc="T T T"
Ag 0.360 -0.057 0.347
Ag 0.924 0.795 3.086
Cu -0.445 -1.534 2.532
Sb 0.839 -0.797 5.965
```

Calculated values
* uncorrected energy: -0.2430 Ry per atom
* formation energy from raw total energies: 0.17 eV/atom
* V: 19.1 Å³ per atom
* energy above the most stable polymorph in this dataset: 70 meV/atom
* total magnetic moment: 0.000 μB/atom



[3]
A geometry-optimized CuAgSb2 structure, computed with PBE.

Structure (extended XYZ):
```
4
Lattice="-0.303 0.600 -3.965 -2.874 -1.862 -2.108 -5.008 4.464 -1.017" Properties=species:S:1:pos:R:3 pbc="T T T"
Ag -6.139 2.401 -5.318
Cu -2.046 0.800 -1.773
Sb -3.341 -1.074 -6.051
Sb -3.930 1.413 -3.568
```

Calculated values
* uncorrected energy: -0.2688 Ry per atom
* formation energy from raw total energies: 0.14 eV/atom
* V: 22.2 Å³ per atom
* energy above the most stable polymorph in this dataset: 17 meV/atom
* total magnetic moment: 0.000 μB/atom



[4]
A geometry-optimized CuAgSb2 structure, computed with PBE.

Structure (extended XYZ):
```
4
Lattice="5.260 -0.052 0.026 1.245 5.111 -0.026 -2.865 -3.027 3.209" Properties=species:S:1:pos:R:3 pbc="T T T"
Ag 2.824 -0.275 1.617
Cu 0.816 2.306 1.591
Sb 0.210 0.163 0.000
Sb 3.042 2.366 0.000
```

Calculated values
* uncorrected energy: -0.2617 Ry per atom
* formation energy from raw total energies: 0.24 eV/atom
* V: 21.6 Å³ per atom
* energy above the most stable polymorph in this dataset: 113 meV/atom
* total magnetic moment: 0.000 μB/atom



[5]
A geometry-optimized CuAg2Sb structure, computed with PBE.

Structure (extended XYZ):
```
4
Lattice="-1.974 4.863 -0.156 -3.811 0.536 -3.572 0.916 -3.438 3.861" Properties=species:S:1:pos:R:3 pbc="T T T"
Ag 0.000 0.000 0.000
Ag -2.892 2.699 -1.864
Cu -2.893 -0.101 -0.787
Sb -1.975 2.062 0.921
```

Calculated values
* uncorrected energy: -0.2471 Ry per atom
* formation energy from raw total energies: 0.12 eV/atom
* V: 18.5 Å³ per atom
* energy above the most stable polymorph in this dataset: 14 meV/atom
* total magnetic moment: 0.000 μB/atom



[6]
A geometry-optimized CuAgSb2 structure, computed with PBE.

Structure (extended XYZ):
```
4
Lattice="-0.859 -2.445 1.971 3.030 -0.936 -0.737 2.852 4.176 6.422" Properties=species:S:1:pos:R:3 pbc="T T T"
Ag 1.798 -0.647 2.223
Cu 3.224 1.441 5.433
Sb 2.781 4.072 6.262
Sb 1.497 2.192 3.371
```

Calculated values
* uncorrected energy: -0.2630 Ry per atom
* formation energy from raw total energies: 0.22 eV/atom
* V: 21.4 Å³ per atom
* energy above the most stable polymorph in this dataset: 95 meV/atom
* total magnetic moment: 0.000 μB/atom



Repeat the third record exactly.
A geometry-optimized CuAgSb2 structure, computed with PBE.

Structure (extended XYZ):
```
4
Lattice="-0.303 0.600 -3.965 -2.874 -1.862 -2.108 -5.008 4.464 -1.017" Properties=species:S:1:pos:R:3 pbc="T T T"
Ag -6.139 2.401 -5.318
Cu -2.046 0.800 -1.773
Sb -3.341 -1.074 -6.051
Sb -3.930 1.413 -3.568
```

Calculated values
* uncorrected energy: -0.2688 Ry per atom
* formation energy from raw total energies: 0.14 eV/atom
* V: 22.2 Å³ per atom
* energy above the most stable polymorph in this dataset: 17 meV/atom
* total magnetic moment: 0.000 μB/atom



- V of number 2 (CuAg2Sb)?
  19.1 Å³ per atom



Copy entry 1 word for word.
A geometry-optimized CuAgSb2 structure, computed with PBE.

Structure (extended XYZ):
```
4
Lattice="-0.516 -1.511 2.814 2.869 1.034 1.081 -3.533 6.712 2.956" Properties=species:S:1:pos:R:3 pbc="T T T"
Ag 0.294 1.440 2.687
Cu -1.473 4.795 4.164
Sb -3.455 6.565 2.891
Sb -1.843 3.502 1.542
```

Calculated values
* uncorrected energy: -0.2628 Ry per atom
* formation energy from raw total energies: 0.22 eV/atom
* V: 21.3 Å³ per atom
* energy above the most stable polymorph in this dataset: 98 meV/atom
* total magnetic moment: 0.000 μB/atom



- Which of these has the lowest uncorrected energy?
  number 3